VGeW | PBE | relaxed

```
VGeW
1.0
-2.010 1.906 -0.273
-3.204 -4.223 0.776
2.522 1.801 5.970
V Ge W
2 2 2
direct
0.829 0.868 0.655
0.171 0.132 0.345
0.857 0.374 0.698
0.143 0.626 0.302
0.380 0.230 0.003
0.620 0.770 0.997
```

---

VGeW | PBE | relaxed

```
VGeW
1.0
5.286 0.000 -0.004
0.000 4.443 0.000
-4.972 0.000 7.572
V Ge W
4 4 4
direct
0.266 0.500 0.340
0.734 0.000 0.160
0.266 0.000 0.840
0.734 0.500 0.660
0.756 0.500 0.326
0.244 0.000 0.174
0.756 0.000 0.826
0.244 0.500 0.674
0.759 0.500 0.011
0.241 0.000 0.489
0.759 0.000 0.511
0.241 0.500 0.989
```

---

V2GeW | PBE | relaxed

```
V2GeW
1.0
-4.762 -3.815 -3.282
4.638 -1.573 -4.901
0.672 -4.784 -2.726
Ge W V
2 2 4
direct
0.500 0.500 0.000
0.250 0.750 0.500
0.750 0.250 0.500
0.000 0.000 0.000
0.130 0.625 0.250
0.875 0.870 0.750
0.620 0.125 0.250
0.375 0.380 0.750
```

---

VGeW | PBE | relaxed

```
VGeW
1.0
2.803 -0.206 -0.306
1.176 4.951 -0.238
0.702 0.915 6.460
Ge W V
2 2 2
direct
0.022 0.202 0.647
0.397 0.708 0.634
0.853 0.560 0.305
0.567 0.350 0.976
0.346 0.060 0.294
0.074 0.850 0.986
```

---

V6Ge4W | PBE | relaxed

```
V6Ge4W
1.0
6.444 -0.298 -0.439
-3.244 5.576 0.439
-3.244 -1.642 5.347
W Ge V
1 4 6
direct
0.000 0.000 0.000
0.000 0.613 0.120
0.507 0.387 0.387
0.000 0.120 0.613
0.493 0.880 0.880
0.000 0.468 0.773
0.500 0.000 0.500
0.000 0.773 0.468
0.305 0.532 0.532
0.500 0.500 0.000
0.695 0.227 0.227
```

---

V4Ge2W | PBE | relaxed

```
V4Ge2W
1.0
4.488 0.000 0.000
0.000 4.488 0.000
2.244 2.244 6.653
Ge V W
2 4 1
direct
0.627 0.627 0.745
0.373 0.373 0.255
0.500 0.000 0.000
0.817 0.817 0.367
0.183 0.183 0.633
0.000 0.500 0.000
0.000 0.000 0.000
```

---

Here are the calculated energy numbers, same order: -8.85 -8.86 -8.35 -8.82 -7.55 -7.40 (eV/atom).
Here are the calculated magnetic moment numbers, same order: 0.00 0.00 0.00 0.00 0.00 3.24 (Bohr magnetons per cell).